Compound: PrDy5Er6
Source: Alexandria
Functional: GGA-PBE
Structure: optimized geometry

```
PrDy5Er6
1.0
6.0344 0.0000 1.0719
3.0172 5.3037 0.5360
-0.0109 0.0000 11.7079
Dy Er Pr
5 6 1
Direct
0.1669 0.6662 0.5000
0.5000 0.0000 0.5000
0.6667 0.6666 0.0000
0.8331 0.3338 0.5000
0.3333 0.3334 0.0000
0.0835 0.3341 0.7482
0.9165 0.6659 0.2518
0.5825 0.3341 0.2518
0.7492 0.0000 0.7484
0.4175 0.6659 0.7482
0.2508 0.0000 0.2516
0.0000 0.0000 0.0000
```

## Properties
ΔH_f (0 K), eV/atom: 0.02
Total magnetization, μB/cell: 0.00
Crystal system: monoclinic
Total energy, eV/cell: -54.931



Compound: Pr6Dy2Er3
Source: Alexandria
Functional: GGA-PBE
Structure: optimized geometry

```
Pr6Dy2Er3
1.0
-3.2594 3.4990 -4.0739
-0.5408 -7.0420 -4.0094
-11.4375 -6.1141 -7.4029
Pr Dy Er
6 2 3
Direct
0.7299 0.0899 0.8180
0.2701 0.9101 0.1820
0.1821 0.2769 0.4538
0.8179 0.7231 0.5462
0.0919 0.6364 0.7293
0.9081 0.3636 0.2707
0.3591 0.5416 0.9115
0.6409 0.4584 0.0885
0.4505 0.1778 0.6395
0.5495 0.8222 0.3605
0.0000 0.0000 0.0000
```

## Properties
ΔH_f (0 K), eV/atom: 0.02
Total magnetization, μB/cell: 0.00
Crystal system: triclinic
Excess energy over the best structure of this formula in the dataset, meV/atom: 0.0
Total energy, eV/cell: -51.365



Compound: PrDy4Er10
Source: Alexandria
Functional: GGA-PBE
Structure: optimized geometry

```
PrDy4Er10
1.0
-5.6948 -8.9102 -1.0778
0.4049 -7.1915 4.8985
-7.6829 -1.8717 3.6535
Er Dy Pr
10 4 1
Direct
0.2921 0.6592 0.0962
0.9512 0.0962 0.3408
0.6117 0.0962 0.3408
0.7079 0.3408 0.9038
0.3883 0.9038 0.6592
0.0475 0.3408 0.9038
0.7500 0.5000 0.5000
0.9525 0.6592 0.0962
0.0488 0.9038 0.6592
0.2500 0.5000 0.5000
0.5527 0.6601 0.2346
0.4473 0.3399 0.7654
0.2128 0.2346 0.3399
0.7872 0.7654 0.6601
0.0000 0.0000 0.0000
```

## Properties
ΔH_f (0 K), eV/atom: 0.49
Total magnetization, μB/cell: 0.00
Crystal system: tetragonal
Total energy, eV/cell: -61.537



Compound: Pr7Dy6Er16
Source: Alexandria
Functional: GGA-PBE
Structure: optimized geometry

```
Pr7Dy6Er16
1.0
-10.6725 -1.6654 3.0148
-5.0429 -9.7321 -2.3705
-2.4399 -7.2042 8.2407
Pr Er Dy
7 16 6
Direct
0.0000 0.0000 0.0000
0.5000 0.0000 0.0000
0.5000 0.0000 0.5000
0.5000 0.5000 0.0000
0.0000 0.0000 0.5000
0.0000 0.5000 0.5000
0.0000 0.5000 0.0000
0.3513 0.9461 0.3513
0.8698 0.8698 0.3907
0.3513 0.3513 0.3513
0.6487 0.6487 0.6487
0.1302 0.1302 0.1302
0.6487 0.6487 0.0539
0.1302 0.1302 0.6093
0.0539 0.6487 0.6487
0.6487 0.0539 0.6487
0.8698 0.3907 0.8698
0.9461 0.3513 0.3513
0.8698 0.8698 0.8698
0.1302 0.6093 0.1302
0.3907 0.8698 0.8698
0.6093 0.1302 0.1302
0.3513 0.3513 0.9461
0.7464 0.2536 0.2536
0.7464 0.7464 0.2536
0.2536 0.7464 0.7464
0.2536 0.7464 0.2536
0.2536 0.2536 0.7464
0.7464 0.2536 0.7464
```

## Properties
ΔH_f (0 K), eV/atom: 0.26
Total magnetization, μB/cell: 0.00
Crystal system: cubic
Total energy, eV/cell: -126.520



Compound: PrDy4Er5
Source: Alexandria
Functional: GGA-PBE
Structure: optimized geometry

```
PrDy4Er5
1.0
6.2631 0.0000 0.0000
3.1315 7.1985 0.0000
3.1315 0.0000 7.1985
Er Pr Dy
5 1 4
Direct
0.6800 0.0000 0.0000
0.7146 0.0891 0.3788
0.1824 0.9109 0.6212
0.0934 0.6212 0.0891
0.8036 0.3788 0.9109
0.2221 0.0000 0.0000
0.1033 0.2995 0.4011
0.5044 0.5989 0.2995
0.4028 0.4011 0.7005
0.8039 0.7005 0.5989
```

## Properties
ΔH_f (0 K), eV/atom: 0.31
Total magnetization, μB/cell: 0.00
Crystal system: tetragonal
Excess energy over the best structure of this formula in the dataset, meV/atom: 242.6
Total energy, eV/cell: -42.948



Compound: Pr5Dy5Er2
Source: Alexandria
Functional: GGA-PBE
Structure: optimized geometry

```
Pr5Dy5Er2
1.0
-3.9595 -2.7674 -1.6297
-4.3173 -3.8868 9.1147
-5.9494 5.0572 -2.1072
Pr Er Dy
5 2 5
Direct
0.3341 0.7474 0.5843
0.6659 0.2526 0.4157
0.9974 0.2519 0.7533
0.0026 0.7481 0.2467
0.0000 0.0000 0.0000
0.6679 0.4992 0.1650
0.3321 0.5008 0.8350
0.3328 0.0002 0.3342
0.6672 0.9998 0.6658
0.6685 0.7466 0.9163
0.3315 0.2534 0.0837
0.0000 0.5000 0.5000
```

## Properties
ΔH_f (0 K), eV/atom: 0.02
Total magnetization, μB/cell: 0.00
Crystal system: monoclinic
Total energy, eV/cell: -55.796



Compound: Pr4DyEr3
Source: Alexandria
Functional: GGA-PBE
Structure: optimized geometry

```
Pr4DyEr3
1.0
-4.8670 1.0015 3.8939
-4.3640 -3.8814 -4.4564
2.6708 -9.6997 5.8328
Er Pr Dy
6 8 2
Direct
0.4810 0.3807 0.2503
0.4810 0.3807 0.7497
0.9810 0.6193 0.7503
0.1471 0.3818 0.5000
0.6471 0.6182 0.0000
0.9810 0.6193 0.2497
0.1414 0.8709 0.0000
0.9835 0.1286 0.7477
0.4835 0.8714 0.2477
0.6484 0.1303 0.0000
0.1484 0.8697 0.5000
0.9835 0.1286 0.2523
0.6414 0.1291 0.5000
0.4835 0.8714 0.7523
0.1492 0.3789 0.0000
0.6492 0.6211 0.5000
```

## Properties
ΔH_f (0 K), eV/atom: 0.03
Total magnetization, μB/cell: 0.00
Crystal system: orthorhombic
Total energy, eV/cell: -74.318



Compound: Pr2Dy4Er5
Source: Alexandria
Functional: GGA-PBE
Structure: optimized geometry

```
Pr2Dy4Er5
1.0
-1.9935 2.2616 -1.7477
-6.3232 -8.6871 -4.0292
-1.4111 3.9048 10.1367
Pr Dy Er
2 4 5
Direct
0.2028 0.2028 0.4057
0.7972 0.7972 0.5943
0.0000 0.7262 0.0000
0.0000 0.2738 0.0000
0.5902 0.5902 0.1803
0.4098 0.4098 0.8197
0.8214 0.1118 0.6429
0.8214 0.5311 0.6429
0.1786 0.4689 0.3571
0.1786 0.8882 0.3571
0.5000 0.0000 0.0000
```

## Properties
ΔH_f (0 K), eV/atom: 0.21
Total magnetization, μB/cell: 0.00
Crystal system: orthorhombic
Excess energy over the best structure of this formula in the dataset, meV/atom: 186.0
Total energy, eV/cell: -48.495



| no. | V (Å³ per cell) |
| --- | --- |
| 1 | 374.8 |
| 2 | 371.1 |
| 3 | 506.3 |
| 4 | 997.3 |
| 5 | 324.5 |
| 6 | 398.6 |
| 7 | 539.3 |
| 8 | 366.6 |